(1)
Crystalline YAsF2 at its relaxed geometry. Source: the Alexandria database, functional GGA-PBEsol.

Values from the calculation:
* crystal system: trigonal
* magnetic moment: 0.00 μB per formula unit
* E_form (uncorrected): -1998 meV/atom

a = 3.1270 Å, b = 3.1270 Å, c = 28.8539 Å
α = 90.00°, β = 90.00°, γ = 120.00°
Space group R-3m (No. 166, hexagonal axes)
Asymmetric unit:
Y  0.0000  0.0000  0.0000 [3 per cell]
As  0.0000  0.0000  0.5000 [3 per cell]
F  0.0000  0.0000  0.3803 [6 per cell]

***

(2)
Crystalline MgTi at its relaxed geometry. Source: the Alexandria database, functional GGA-PBEsol.

Values from the calculation:
* crystal system: orthorhombic
* magnetic moment: 0.00 μB per formula unit
* ΔE_f: 0.2 eV/f.u.

a = 4.746 Å, b = 2.915 Å, c = 16.510 Å
α = 90.00°, β = 90.00°, γ = 90.00°
Space group Amm2 (No. 38)
Asymmetric unit:
Mg  0.000  0.000  0.000 [2 per cell]
Mg  0.000  0.000  0.320 [2 per cell]
Mg  0.500  0.000  0.895 [2 per cell]
Ti  0.000  0.000  0.658 [2 per cell]
Ti  0.500  0.000  0.215 [2 per cell]
Ti  0.500  0.000  0.575 [2 per cell]